Entry 1:
# HgPt2Se

Crystalline HgPt2Se at its relaxed geometry (PBE, Alexandria).

Properties
**Space-group type**: I-4m2 (119)
**Energy relative to the elements, uncorrected**: 0.26 eV per atom
**Final energy**: -3.702 eV per atom
**Total magnetization**: 0.00 μB/f.u.

abc: 5.3401 5.3401 5.3401
angles: 136.15 136.15 63.75
Last column: nearest neighbours and their distance in Å.
Fractional coordinates of all 4 atoms:
1 Hg 0.7500 0.2500 0.5000  8 Pt 2.82-3.02, 4 Se 3.02
2 Se 0.5000 0.5000 0.0000  8 Pt 2.82-3.02, 4 Hg 3.02
3 Pt 0.0000 0.0000 0.0000  4 Se 2.82, 4 Pt 3.02, 4 Hg 3.02
4 Pt 0.2500 0.7500 0.5000  4 Hg 2.82, 4 Se 3.02, 4 Pt 3.02

Entry 2:
# P3Cl

Crystalline P3Cl at its relaxed geometry (PBE, Alexandria).

Properties
**Relative energy among the computed polymorphs**: 905.3 meV/atom
**Space-group type**: Pm-3m (221)
**Energy relative to the elements, uncorrected**: 1.12 eV per atom
**Final energy**: -3.396 eV per atom
**Total magnetization**: 0.00 μB/f.u.

abc: 4.0271 4.0271 4.0271
angles: 90.00 90.00 90.00
Last column: nearest neighbours and their distance in Å.
Fractional coordinates of all 4 atoms:
1 P 0.0000 0.5000 0.5000  8 P 2.85, 4 Cl 2.85
2 P 0.5000 0.5000 0.0000  8 P 2.85, 4 Cl 2.85
3 P 0.5000 0.0000 0.5000  4 Cl 2.85, 8 P 2.85
4 Cl 0.0000 0.0000 0.0000  12 P 2.85

Entry 3:
# TbCeZnCd

Crystalline TbCeZnCd at its relaxed geometry (PBE, Alexandria).

Properties
**Energy of formation**: -0.238 eV per atom
**Relative energy among the computed polymorphs**: 0.0 meV/atom
**Space-group type**: P4mm (99)
**Final energy**: -3.426 eV per atom
**Total magnetization**: 1.05 μB/f.u.

abc: 3.5906 3.5906 7.8228
angles: 90.00 90.00 90.00
Last column: nearest neighbours and their distance in Å.
Fractional coordinates of all 4 atoms:
1 Cd 0.0000 0.0000 0.8443  4 Tb 3.24, 4 Ce 3.37, 4 Cd 3.59
2 Ce 0.5000 0.5000 0.1276  4 Zn 3.17, 4 Cd 3.37
3 Tb 0.5000 0.5000 0.5864  4 Zn 3.05, 4 Cd 3.24
4 Zn 0.0000 0.0000 0.3696  4 Tb 3.05, 4 Ce 3.17

Entry 4:
# Tb8ScGa6

Crystalline Tb8ScGa6 at its relaxed geometry (PBE, Alexandria).

Properties
**Energy of formation**: -0.362 eV per atom
**Space-group type**: R-3 (148)
**Final energy**: -4.464 eV per atom
**Total magnetization**: 0.00 μB/f.u.

abc: 8.5787 8.5787 7.9109
angles: 57.17 57.17 60.00
Last column: nearest neighbours and their distance in Å.
Fractional coordinates of all 15 atoms:
1 Ga 0.9436 0.2679 0.1716  7 Tb 2.99-3.13, 1 Sc 2.99
2 Ga 0.0564 0.7321 0.8284  7 Tb 2.99-3.13, 1 Sc 2.99
3 Sc 0.0000 0.0000 0.0000  6 Ga 2.99
4 Ga 0.3831 0.0564 0.8284  7 Tb 2.99-3.13, 1 Sc 2.99
5 Ga 0.6169 0.9436 0.1716  7 Tb 2.99-3.13, 1 Sc 2.99
6 Tb 0.6661 0.6661 0.0018  6 Ga 3.08
7 Tb 0.2185 0.8876 0.3351  5 Ga 2.99-3.13
8 Tb 0.1124 0.4412 0.6649  5 Ga 2.99-3.13
9 Ga 0.7321 0.3831 0.8284  7 Tb 2.99-3.13, 1 Sc 2.99
10 Tb 0.3339 0.3339 0.9982  6 Ga 3.08
11 Tb 0.7815 0.1124 0.6649  5 Ga 2.99-3.13
12 Ga 0.2679 0.6169 0.1716  7 Tb 2.99-3.13, 1 Sc 2.99
13 Tb 0.8876 0.5588 0.3351  5 Ga 2.99-3.13
14 Tb 0.4412 0.7815 0.6649  5 Ga 2.99-3.13
15 Tb 0.5588 0.2185 0.3351  5 Ga 2.99-3.13

Entry 5:
# ZrCoAsH

Crystalline ZrCoAsH at its relaxed geometry (PBE, Alexandria).

Properties
**Space-group type**: P3m1 (156)
**Final energy**: -6.590 eV per atom
**Total magnetization**: 0.00 μB/f.u.

abc: 3.9916 3.9915 3.5781
angles: 90.00 90.00 120.00
Last column: nearest neighbours and their distance in Å.
Fractional coordinates of all 4 atoms:
1 H 0.2386 0.4772 0.3040  2 Co 1.69-1.89
2 As 0.9052 0.8105 0.7987  3 Co 2.31
3 Co 0.2386 0.4771 0.8311  2 H 1.69-1.89
4 Zr 0.5719 0.1438 0.3053  3 H 2.30

Entry 6:
# TbCu2O4

Crystalline TbCu2O4 at its relaxed geometry (PBE, Alexandria).

Properties
**Space-group type**: Fddd (70)
**Energy relative to the elements, uncorrected**: -1.57 eV per atom
**Final energy**: -6.239 eV per atom
**Total magnetization**: 0.00 μB/f.u.

abc: 6.2643 5.6078 6.5972
angles: 74.61 61.65 56.03
Last column: nearest neighbours and their distance in Å.
Fractional coordinates of all 14 atoms:
1 O 0.7119 0.1508 0.7704  2 Cu 1.89-1.92
2 Cu 0.3750 0.7500 0.2500  4 O 1.89-1.92
3 O 0.2323 0.6508 0.7295  2 Cu 1.89-1.92
4 O 0.5176 0.8493 0.7705  2 Cu 1.89-1.92
5 O 0.6331 0.8492 0.2296  2 Cu 1.89-1.92
6 Tb 0.7500 0.5000 0.5000  8 O 2.31-2.55
7 Cu 0.3750 0.2500 0.7500  4 O 1.89-1.92
8 Cu 0.8750 0.7500 0.7500  4 O 1.89-1.92
9 Cu 0.3750 0.2500 0.2500  4 O 1.89-1.92
10 O 0.1169 0.6508 0.2704  2 Cu 1.89-1.92
11 O 0.1374 0.1508 0.2296  2 Cu 1.89-1.92
12 Tb 0.0000 0.0000 0.0000  8 O 2.31-2.55
13 O 0.0381 0.3493 0.7296  2 Cu 1.89-1.92
14 O 0.6126 0.3491 0.2705  2 Cu 1.89-1.92

Entry 7:
# RbTe2Pb

Crystalline RbTe2Pb at its relaxed geometry (PBE, Alexandria).

Properties
**Space-group type**: I-42d (122)
**Energy relative to the elements, uncorrected**: -0.46 eV per atom
**Final energy**: -3.197 eV per atom
**Total magnetization**: 0.00 μB/f.u.

abc: 8.6261 8.6261 8.1319
angles: 57.97 57.97 90.00
Last column: nearest neighbours and their distance in Å.
Fractional coordinates of all 8 atoms:
1 Pb 0.0000 0.0000 0.0000  4 Te 3.00
2 Te 0.8750 0.9400 0.7500  2 Pb 3.00
3 Pb 0.7500 0.2500 0.5000  4 Te 3.00
4 Te 0.0600 0.6250 0.2500  2 Pb 3.00
5 Rb 0.2500 0.7500 0.5000  4 Te 3.72
6 Rb 0.5000 0.5000 0.0000  4 Te 3.72
7 Te 0.6900 0.1250 0.2500  2 Pb 3.00
8 Te 0.3750 0.3100 0.7500  2 Pb 3.00

Entry 8:
# Pm2PuGe2

Crystalline Pm2PuGe2 at its relaxed geometry (PBE, Alexandria).

Properties
**Energy of formation**: -0.525 eV per atom
**Space-group type**: Cmc2_1 (36)
**Final energy**: -7.138 eV per atom
**Total magnetization**: 5.64 μB/f.u.

abc: 4.7071 6.3240 9.2039
angles: 90.00 104.82 90.00
Last column: nearest neighbours and their distance in Å.
Fractional coordinates of all 10 atoms:
1 Pm 0.0014 0.2282 0.0027  4 Ge 3.14-3.16, 2 Pm 3.16, 4 Pu 3.32-3.33
2 Pm 0.1970 0.9750 0.3940  6 Ge 3.14-3.18
3 Pu 0.4021 0.9804 0.8043  4 Ge 2.83-3.17
4 Ge 0.4225 0.4778 0.8449  3 Pu 3.12-3.20, 6 Pm 3.14-3.17
5 Pu 0.5979 0.4804 0.1957  4 Ge 2.83-3.17
6 Ge 0.1859 0.4729 0.3717  2 Pu 2.83, 3 Pm 3.14-3.16
7 Ge 0.5775 0.9778 0.1551  3 Pu 3.12-3.20, 6 Pm 3.14-3.17
8 Ge 0.8141 0.9729 0.6283  2 Pu 2.83, 3 Pm 3.14-3.16
9 Pm 0.8030 0.4750 0.6060  6 Ge 3.14-3.18
10 Pm 0.9986 0.7282 0.9973  4 Ge 3.14-3.16, 2 Pm 3.16, 4 Pu 3.32-3.33